1.
Crystalline SmGdZrSc at its relaxed geometry, computed with GGA-PBE.

Lattice parameters (Å, degrees): 5.3958 5.3958 5.3958 60.00 60.00 60.00
Positions (direct):
Sc 0.0000 0.0000 0.0000
Gd 0.2500 0.2500 0.2500
Zr 0.5000 0.5000 0.5000
Sm 0.7500 0.7500 0.7500

Values from the calculation:
V = 111 Å³ per cell
Energy of formation = 0.173 eV/atom

=====

2.
Crystalline PmMgCu2Ge2 at its relaxed geometry, computed with GGA-PBE.

Lattice parameters (Å, degrees): 4.2326 4.2326 6.9744 90.00 90.00 120.00
Positions (direct):
Pm 0.0000 0.0000 0.0000
Mg 0.0000 0.0000 0.5000
Cu 0.3333 0.6667 0.6847
Cu 0.6667 0.3333 0.3153
Ge 0.3333 0.6667 0.2649
Ge 0.6667 0.3333 0.7351

Values from the calculation:
V = 108 Å³ per cell
Energy of formation = -0.483 eV/atom

=====

3.
Crystalline Sc2TaRe at its relaxed geometry, computed with GGA-PBE.

Lattice parameters (Å, degrees): 4.7262 4.7262 4.7262 60.00 60.00 60.00
Positions (direct):
Sc 0.2500 0.2500 0.2500
Sc 0.7500 0.7500 0.7500
Re 0.5000 0.5000 0.5000
Ta 0.0000 0.0000 0.0000

Values from the calculation:
V = 75 Å³ per cell
Energy of formation = 0.335 eV/atom

=====

4.
Crystalline IrAuBr2 at its relaxed geometry, computed with GGA-PBE.

Lattice parameters (Å, degrees): 3.1194 6.5480 4.3504 90.00 90.00 90.00
Positions (direct):
Ir 0.5000 0.0000 0.5000
Au 0.0000 0.5000 0.5000
Br 0.0000 0.0000 0.0000
Br 0.5000 0.5000 0.0000

Values from the calculation:
ΔE_f (raw) = 0.855 eV/atom
V = 89 Å³ per cell

=====

5.
Crystalline Sm2YAl6 at its relaxed geometry, computed with GGA-PBE.

Lattice parameters (Å, degrees): 3.5725 7.9496 7.9496 120.00 90.00 90.00
Positions (direct):
Sm 0.0000 0.3333 0.6667
Sm 0.0000 0.6667 0.3333
Y 0.0000 0.0000 0.0000
Al 0.5000 0.3322 0.3322
Al 0.5000 0.6678 0.6678
Al 0.5000 0.0000 0.6678
Al 0.5000 0.6678 0.0000
Al 0.5000 0.3322 0.0000
Al 0.5000 0.0000 0.3322

Values from the calculation:
V = 196 Å³ per cell
Energy of formation = -0.491 eV/atom

=====

6.
Crystalline ScIn2Fe at its relaxed geometry, computed with GGA-PBE.

Lattice parameters (Å, degrees): 5.6660 5.6660 4.7085 65.56 65.56 35.95
Positions (direct):
Fe 0.7546 0.7546 0.7453
In 0.0260 0.0260 0.9739
In 0.2492 0.2492 0.2510
Sc 0.4702 0.4702 0.5299

Values from the calculation:
V = 80 Å³ per cell
Energy of formation = 0.002 eV/atom

=====

7.
Crystalline Cs3AuI6 at its relaxed geometry, computed with GGA-PBE.

Lattice parameters (Å, degrees): 9.2522 9.2522 9.0549 59.28 59.28 90.00
Positions (direct):
Cs 0.5000 0.5000 0.0000
Cs 0.7500 0.2500 0.5000
Cs 0.2500 0.7500 0.5000
I 0.2156 0.2156 0.5688
I 0.7844 0.7844 0.4312
I 0.2267 0.2267 0.0000
I 0.7733 0.7733 0.0000
I 0.7733 0.2267 0.0000
I 0.2267 0.7733 0.0000
Au 0.0000 0.0000 0.0000

Values from the calculation:
ΔE_f (raw) = -0.822 eV/atom
V = 536 Å³ per cell

=====

8.
Crystalline Nd3InPt8 at its relaxed geometry, computed with GGA-PBE.

Lattice parameters (Å, degrees): 5.4974 5.4974 9.4954 73.17 73.17 60.00
Positions (direct):
Nd 0.3771 0.3771 0.8688
Nd 0.9932 0.9932 0.0205
Nd 0.5055 0.5055 0.4836
In 0.8679 0.8679 0.3962
Pt 0.9412 0.4377 0.1834
Pt 0.4364 0.9382 0.6873
Pt 0.4377 0.4377 0.1834
Pt 0.9382 0.9382 0.6873
Pt 0.1886 0.1886 0.4341
Pt 0.6884 0.6884 0.9347
Pt 0.4377 0.9412 0.1834
Pt 0.9382 0.4364 0.6873

Values from the calculation:
V = 234 Å³ per cell
Energy of formation = -0.945 eV/atom

=====

9.
Crystalline Se2ClF at its relaxed geometry, computed with GGA-PBE.

Lattice parameters (Å, degrees): 8.9590 8.9590 8.9590 19.78 19.78 19.78
Positions (direct):
F 0.5000 0.5000 0.5000
Se 0.9078 0.9078 0.9078
Se 0.0922 0.0922 0.0922
Cl 0.0000 0.0000 0.0000

Values from the calculation:
ΔE_f (raw) = 0.015 eV/atom
V = 72 Å³ per cell

=====

10.
Crystalline NbCoBi3 at its relaxed geometry, computed with GGA-PBE.

Lattice parameters (Å, degrees): 5.0893 5.0893 5.0893 90.00 90.00 90.00
Positions (direct):
Nb 0.5000 0.5000 0.5000
Co 0.0000 0.0000 0.0000
Bi 0.0000 0.5000 0.0000
Bi 0.0000 0.0000 0.5000
Bi 0.5000 0.0000 0.0000

Values from the calculation:
V = 132 Å³ per cell
Energy of formation = 0.834 eV/atom

=====

11.
Crystalline LaNdTc2O8 at its relaxed geometry, computed with GGA-PBE.

Lattice parameters (Å, degrees): 5.3590 5.3590 6.9844 112.56 112.56 90.00
Positions (direct):
La 0.0000 0.0000 0.0000
Nd 0.7500 0.2500 0.5000
Tc 0.5000 0.5000 0.0000
Tc 0.2500 0.7500 0.5000
O 0.7382 0.8349 0.1693
O 0.4311 0.3344 0.1693
O 0.5816 0.6733 0.6657
O 0.0841 0.9924 0.6657
O 0.0076 0.4184 0.3343
O 0.3267 0.9159 0.3343
O 0.1651 0.5689 0.8307
O 0.6656 0.2618 0.8307

Values from the calculation:
ΔE_f (raw) = -2.227 eV/atom
V = 168 Å³ per cell

=====

12.
Crystalline CaDy2In at its relaxed geometry, computed with GGA-PBE.

Lattice parameters (Å, degrees): 5.5307 5.5307 5.5306 60.00 60.00 60.00
Positions (direct):
Ca 0.4999 0.4999 0.5002
Dy 0.0001 0.0001 0.9998
Dy 0.2499 0.2499 0.2502
In 0.7501 0.7501 0.7498

Values from the calculation:
V = 120 Å³ per cell
Energy of formation = -0.068 eV/atom

=====

13.
Crystalline CuSn2Sb2Pd7 at its relaxed geometry, computed with GGA-PBE.

Lattice parameters (Å, degrees): 3.9284 3.9284 15.4899 79.99 79.99 89.77
Positions (direct):
Cu 0.0000 0.0000 0.0000
Sn 0.6717 0.6717 0.7479
Sn 0.3283 0.3283 0.2521
Sb 0.7477 0.7477 0.3947
Sb 0.2523 0.2523 0.6053
Pd 0.5000 0.5000 0.0000
Pd 0.2331 0.2331 0.4332
Pd 0.7669 0.7669 0.5668
Pd 0.9114 0.4116 0.1302
Pd 0.4116 0.9114 0.1302
Pd 0.5884 0.0886 0.8698
Pd 0.0886 0.5884 0.8698

Values from the calculation:
ΔE_f (raw) = -0.229 eV/atom
V = 232 Å³ per cell

=====

14.
Crystalline Ba4AlGa3 at its relaxed geometry, computed with GGA-PBE.

Lattice parameters (Å, degrees): 5.2687 4.6066 11.9253 90.00 90.00 90.00
Positions (direct):
Ba 0.5000 0.5000 0.3579
Ba 0.0000 0.5000 0.8529
Ba 0.0000 0.0000 0.1461
Ba 0.5000 0.0000 0.6448
Ga 0.0000 0.5000 0.5538
Ga 0.0000 0.0000 0.4484
Ga 0.5000 0.0000 0.9463
Al 0.5000 0.5000 0.0496

Values from the calculation:
V = 289 Å³ per cell
Energy of formation = -0.300 eV/atom

=====

15.
Crystalline TaMoAu2 at its relaxed geometry, computed with GGA-PBE.

Lattice parameters (Å, degrees): 2.8286 2.8286 8.9556 90.00 90.00 103.05
Positions (direct):
Au 0.0000 0.0000 0.9921
Au 0.5000 0.5000 0.2584
Mo 0.0000 0.0000 0.5053
Ta 0.5000 0.5000 0.7442

Values from the calculation:
V = 70 Å³ per cell
Energy of formation = 0.029 eV/atom

=====

16.
Crystalline Th2AuF11 at its relaxed geometry, computed with GGA-PBE.

Lattice parameters (Å, degrees): 8.7187 8.7187 8.7187 97.65 97.65 137.22
Positions (direct):
Th 0.3564 0.1436 0.5000
Th 0.8564 0.3564 0.2128
Th 0.1436 0.6436 0.7872
Th 0.6436 0.8564 0.5000
Au 0.5000 0.5000 0.0000
Au 0.0000 0.0000 0.0000
F 0.6346 0.3959 0.0305
F 0.3654 0.6041 0.9695
F 0.6041 0.6346 0.2388
F 0.3959 0.3654 0.7612
F 0.1346 0.1041 0.2388
F 0.8959 0.1346 0.0305
F 0.5000 0.0000 0.5000
F 0.0000 0.5000 0.5000
F 0.0000 0.0000 0.5000
F 0.5000 0.0000 0.0000
F 0.0000 0.5000 0.0000
F 0.5000 0.5000 0.5000
F 0.2500 0.5596 0.3096
F 0.9404 0.2500 0.6904
F 0.5596 0.2500 0.3096
F 0.2500 0.9404 0.6904
F 0.7500 0.4404 0.6904
F 0.0596 0.7500 0.3096
F 0.4404 0.7500 0.6904
F 0.7500 0.0596 0.3096
F 0.8654 0.8959 0.7612
F 0.1041 0.8654 0.9695

Values from the calculation:
ΔE_f (raw) = -3.255 eV/atom
V = 419 Å³ per cell

=====

17.
Crystalline Ac3Tb3Sm2 at its relaxed geometry, computed with GGA-PBE.

Lattice parameters (Å, degrees): 6.8005 10.1385 10.1385 60.00 90.00 90.00
Positions (direct):
Ac 0.7500 0.0000 0.2342
Ac 0.7500 0.2342 0.7658
Ac 0.7500 0.7658 0.0000
Ac 0.2500 0.0000 0.7658
Ac 0.2500 0.7658 0.2342
Ac 0.2500 0.2342 0.0000
Tb 0.7500 0.0000 0.5861
Tb 0.7500 0.5861 0.4139
Tb 0.7500 0.4139 0.0000
Tb 0.2500 0.0000 0.4139
Tb 0.2500 0.4139 0.5861
Tb 0.2500 0.5861 0.0000
Sm 0.0000 0.3333 0.3333
Sm 0.5000 0.6667 0.6667
Sm 0.0000 0.6667 0.6667
Sm 0.5000 0.3333 0.3333

Values from the calculation:
V = 605 Å³ per cell
Energy of formation = 0.176 eV/atom

=====

18.
Crystalline PmDy3Cl at its relaxed geometry, computed with GGA-PBE.

Lattice parameters (Å, degrees): 5.3047 5.3047 5.3047 90.00 90.00 90.00
Positions (direct):
Cl 0.0000 0.0000 0.0000
Pm 0.5000 0.5000 0.5000
Dy 0.0000 0.5000 0.0000
Dy 0.0000 0.0000 0.5000
Dy 0.5000 0.0000 0.0000

Values from the calculation:
ΔE_f (raw) = -0.454 eV/atom
V = 149 Å³ per cell

=====

19.
Crystalline Dy3TmRh at its relaxed geometry, computed with GGA-PBE.

Lattice parameters (Å, degrees): 3.7363 6.2455 12.4813 87.06 81.39 72.60
Positions (direct):
Dy 0.4450 0.9563 0.1537
Dy 0.7678 0.7092 0.7553
Dy 0.0984 0.1741 0.6291
Dy 0.9901 0.1095 0.9102
Dy 0.7807 0.0463 0.3923
Dy 0.4322 0.6219 0.5137
Tm 0.1144 0.4946 0.2765
Tm 0.2230 0.5544 0.9996
Rh 0.7798 0.3152 0.1253
Rh 0.4293 0.3554 0.7859

Values from the calculation:
V = 275 Å³ per cell
Energy of formation = -0.402 eV/atom

=====

20.
Crystalline TlIn2Hg12 at its relaxed geometry, computed with GGA-PBE.

Lattice parameters (Å, degrees): 17.2167 4.2765 16.4376 104.06 49.14 82.71
Positions (direct):
Tl 0.5557 0.7870 0.9415
Tl 0.9443 0.7130 0.0585
In 0.4160 0.1701 0.2529
In 0.0828 0.8451 0.2603
In 0.0840 0.3299 0.7471
In 0.4172 0.6549 0.7397
Hg 0.4764 0.2359 0.8464
Hg 0.8810 0.1294 0.9462
Hg 0.8143 0.5666 0.8483
Hg 0.1503 0.9012 0.8491
Hg 0.9569 0.1949 0.5453
Hg 0.3497 0.5988 0.1509
Hg 0.6844 0.4289 0.6485
Hg 0.4831 0.7317 0.3494
Hg 0.2167 0.4635 0.9495
Hg 0.6857 0.9334 0.1517
Hg 0.3444 0.1042 0.6501
Hg 0.8156 0.0711 0.3515
Hg 0.0169 0.7683 0.6506
Hg 0.1556 0.3958 0.3499
Hg 0.2833 0.0365 0.0505
Hg 0.8801 0.6352 0.4516
Hg 0.6199 0.8648 0.5484
Hg 0.0236 0.2641 0.1536
Hg 0.2833 0.5318 0.5484
Hg 0.5431 0.3051 0.4547
Hg 0.7617 0.9817 0.7356
Hg 0.6190 0.3706 0.0538
Hg 0.2167 0.9682 0.4516
Hg 0.7383 0.5183 0.2643

Values from the calculation:
V = 818 Å³ per cell
Energy of formation = -0.003 eV/atom